DFT (PBE) results for a relaxed SrTi2Sb2 crystal.

The space group is P4/mbm (No. 127) and the conventional cell measures 8.185, 8.185 and 3.519 Å, with angles of 90.00, 90.00 and 90.00 degrees. The asymmetric unit holds Sr at (0.000, 0.000, 0.000), Ti at (0.111, 0.389, 0.000) and Sb at (0.170, 0.670, 0.500).

Its formation energy without anion corrections is -305 meV per atom. For the density of states at the Fermi level, the calculation gives 0.816 states/eV/atom. The value obtained for the uncorrected energy is -54.479 eV/cell. The energy above the most stable polymorph in this dataset comes out at 268.5 meV/atom.